Compound: Sr2AlMoO6
Source: Alexandria
Functional: GGA+U
Structure: optimized geometry

Cell: 5.505 5.521 5.548 Å, 119.51 90.95 119.11°
Fractional positions:
Sr  0.250  0.001  0.251
Sr  0.750  0.999  0.749
Al  0.500  0.500  0.000
Mo  0.000  0.500  0.500
O  0.245  0.013  0.752
O  0.246  0.517  0.774
O  0.272  0.508  0.260
O  0.728  0.492  0.740
O  0.754  0.483  0.226
O  0.755  0.987  0.248

Output
electronic total energy: -69.98 eV per cell
spin magnetization: 0.10 μB/atom
symmetry: P-1 (2)